# In2Te4Pd

A relaxed structure of In2Te4Pd (PBE-GGA, OQMD).

Output
Space-group type: I-4 (82)

Cell: 7.6111 7.6111 7.6111 Å, 132.63 132.63 69.24°
With the nearest neighbours (Å) after each atom.
Atoms (fractional coordinates):
In 0.2500 0.7500 0.5000  4 Te 2.86
In 0.5000 0.5000 0.0000  4 Te 2.87
Te 0.8671 0.3334 0.9322  1 Pd 2.64, 2 In 2.86-2.87
Te 0.4012 0.9349 0.0678  1 Pd 2.64, 2 In 2.86-2.87
Te 0.0651 0.1329 0.4664  1 Pd 2.64, 2 In 2.86-2.87
Te 0.6666 0.5988 0.5336  1 Pd 2.64, 2 In 2.86-2.87
Pd 0.0000 0.0000 0.0000  4 Te 2.64

---

# Pm3PtF

A relaxed structure of Pm3PtF (PBE-GGA, OQMD).

Output
Space-group type: Pm-3m (221)
M_tot (μB/f.u.): 0.01

Cell: 4.8231 4.8231 4.8231 Å, 90.00 90.00 90.00°
With the nearest neighbours (Å) after each atom.
Atoms (fractional coordinates):
Pm 0.0000 0.5000 0.0000  2 F 2.41
Pm 0.0000 0.0000 0.5000  2 F 2.41
Pm 0.5000 0.0000 0.0000  2 F 2.41
Pt 0.5000 0.5000 0.5000  12 Pm 3.41
F 0.0000 0.0000 0.0000  6 Pm 2.41

---

How do the records compare in calculated total energy? In the order shown, they have -3.54 -5.56 eV per atom.